Entry 1:
First-principles (PBE) data for crystalline K12Hg5Au2 at its relaxed geometry, as listed in Alexandria via LeMat-Bulk.

```
K12Hg5Au2
1.0
7.284 -5.915 0.000
7.284 5.915 0.000
-1.800 0.000 9.271
K Hg Au
12 5 2
Cartesian
4.530 3.882 1.605 K
1.068 0.000 1.558 K
4.535 2.627 5.804 K
8.238 3.882 7.666 K
8.233 2.627 3.467 K
5.337 0.000 2.201 K
7.431 0.000 7.070 K
4.535 -2.627 5.804 K
4.530 -3.882 1.605 K
8.233 -2.627 3.467 K
11.699 0.000 7.713 K
8.238 -3.882 7.666 K
-0.900 0.000 4.636 Hg
2.240 0.000 4.869 Hg
3.970 0.000 8.101 Hg
8.797 0.000 1.170 Hg
10.528 0.000 4.402 Hg
7.284 2.426 0.000 Au
7.284 -2.426 0.000 Au
```

Crystal system: monoclinic
Symmetry: No. 12

---

Entry 2:
First-principles (PBE) data for crystalline K3Hg12Au5 at its relaxed geometry, as listed in Alexandria via LeMat-Bulk.

```
K3Hg12Au5
1.0
-8.987 8.987 8.987
8.987 -8.987 8.987
8.987 8.987 -8.987
K Hg Au
12 48 20
Cartesian
4.493 2.247 0.000 K
8.987 4.493 -2.247 K
2.247 0.000 4.493 K
11.233 0.000 4.493 K
0.000 4.493 2.247 K
4.493 -2.247 8.987 K
4.493 11.233 0.000 K
8.987 4.493 6.740 K
-2.247 8.987 4.493 K
6.740 8.987 4.493 K
0.000 4.493 11.233 K
4.493 6.740 8.987 K
2.265 -1.113 1.214 Hg
11.215 5.707 -5.606 Hg
7.874 -1.214 2.265 Hg
14.593 -2.228 3.280 Hg
1.214 2.265 -1.113 Hg
12.266 3.380 -2.228 Hg
11.252 1.113 1.214 Hg
11.215 -3.280 5.606 Hg
5.707 5.606 -2.228 Hg
7.773 2.265 1.113 Hg
-1.113 1.214 2.265 Hg
5.606 -2.228 5.707 Hg
7.874 7.773 -2.265 Hg
5.606 2.228 3.280 Hg
7.773 -2.265 7.874 Hg
5.707 -5.606 11.215 Hg
2.265 7.874 -1.214 Hg
11.215 3.280 3.380 Hg
3.280 5.606 2.228 Hg
10.200 6.721 1.113 Hg
5.606 11.215 -3.280 Hg
7.874 1.214 6.721 Hg
2.228 3.280 5.606 Hg
2.265 1.113 7.773 Hg
6.721 7.874 1.214 Hg
6.759 5.707 3.380 Hg
1.113 7.773 2.265 Hg
3.380 -2.228 12.266 Hg
-1.214 2.265 7.874 Hg
5.707 3.380 6.759 Hg
-2.228 5.707 5.606 Hg
6.721 1.113 10.200 Hg
3.280 14.593 -2.228 Hg
1.214 11.252 1.113 Hg
3.380 6.759 5.707 Hg
1.113 1.214 11.252 Hg
3.380 11.215 3.280 Hg
10.100 7.773 6.721 Hg
1.214 6.721 7.874 Hg
3.280 3.380 11.215 Hg
-2.228 12.266 3.380 Hg
-2.265 7.874 7.773 Hg
-3.280 5.606 11.215 Hg
7.773 6.721 10.100 Hg
-5.606 11.215 5.707 Hg
1.113 10.200 6.721 Hg
-2.228 3.280 14.593 Hg
6.721 10.100 7.773 Hg
0.000 0.000 0.000 Au
4.493 4.493 -4.493 Au
4.493 -4.493 4.493 Au
8.987 0.000 0.000 Au
13.480 2.247 0.000 Au
8.987 -4.493 6.740 Au
6.740 8.987 -4.493 Au
6.740 0.000 4.493 Au
4.493 6.740 0.000 Au
8.987 4.493 2.247 Au
-4.493 4.493 4.493 Au
0.000 8.987 0.000 Au
0.000 0.000 8.987 Au
4.493 4.493 4.493 Au
0.000 4.493 6.740 Au
4.493 2.247 8.987 Au
2.247 8.987 4.493 Au
2.247 0.000 13.480 Au
0.000 13.480 2.247 Au
-4.493 6.740 8.987 Au
```

Crystal system: cubic
Symmetry: No. 230

---

Entry 3:
First-principles (PBE) data for crystalline K2Hg7Au at its relaxed geometry, as listed in Alexandria via LeMat-Bulk.

```
K2Hg7Au
1.0
4.995 0.000 0.000
0.000 4.995 0.000
0.000 0.000 12.326
K Hg Au
2 7 1
Cartesian
0.000 2.497 2.865 K
2.497 0.000 9.461 K
0.000 0.000 0.000 Hg
0.000 0.000 6.163 Hg
0.000 2.497 7.889 Hg
0.000 2.497 10.784 Hg
2.497 0.000 1.542 Hg
2.497 0.000 4.437 Hg
2.497 2.497 6.163 Hg
2.497 2.497 0.000 Au
```

Crystal system: tetragonal
Polymorph energy (0 for the lowest one) in meV per atom: 0
Symmetry: No. 115

---

Number 1: energy of formation -3.87 kcal/mol of atoms. Number 2: energy of formation -0.77 kcal/mol of atoms. Number 3: energy of formation -3.98 kcal/mol of atoms.